(1)
This record from Alexandria describes a relaxed structure of DyEr6Tl. The functional is GGA-PBE.

Summary:
Calculated formation energy = -0.029 eV per atom

abc: 4.934 6.928 6.928
angles: 90.04 90.00 90.00
Fractional positions:
1 Dy 0.500 0.500 0.500
2 Er 0.000 0.747 0.253
3 Er 0.000 0.253 0.747
4 Er 0.000 0.748 0.748
5 Er 0.000 0.252 0.252
6 Er 0.500 0.500 0.000
7 Er 0.500 0.000 0.500
8 Tl 0.500 0.000 0.000

=====

(2)
This record from Alexandria describes a relaxed structure of DyEr3Pu. The functional is GGA-PBE.

Summary:
Calculated formation energy = 0.143 eV per atom

abc: 6.299 6.300 8.627
angles: 108.58 108.60 93.90
Fractional positions:
1 Dy 0.210 0.210 0.120
2 Dy 0.790 0.790 0.880
3 Er 0.749 0.114 0.285
4 Er 0.251 0.886 0.715
5 Er 0.886 0.251 0.715
6 Er 0.114 0.749 0.285
7 Er 0.334 0.334 0.567
8 Er 0.666 0.666 0.433
9 Pu 0.650 0.350 0.000
10 Pu 0.350 0.650 0.000